No. 1
The following is a PBE calculation of crystalline YZn3Fe at its relaxed geometry, from the Alexandria database.

Output
**VASP energy**: -3.70 eV/atom
**Polymorph energy (0 for the lowest one)**: 0.0000 eV per atom
**Crystal system**: cubic
**DOS(E_F)**: 2.0 states/eV/f.u.
**Formation energy from the elements**: 0.048 eV per atom

Lattice parameters (Å, degrees): 4.5679 4.5679 4.5679 90.00 90.00 90.00
Last column: nearest neighbours and their distance in Å.
Space group Pm-3m (No. 221)
Asymmetric unit:
Y1 0.0000 0.0000 0.0000 (multiplicity 1)  12 Zn 3.23
Zn1 0.0000 0.5000 0.5000 (multiplicity 3)  2 Fe 2.28
Fe1 0.5000 0.5000 0.5000 (multiplicity 1)  6 Zn 2.28

No. 2
The following is a PBE calculation of crystalline Dy2SnHg at its relaxed geometry, from the Alexandria database.

Output
**VASP energy**: -3.97 eV/atom
**Crystal system**: orthorhombic
**DOS(E_F)**: 3.9 states/eV/f.u.
**Formation energy from the elements**: -0.588 eV per atom

Lattice parameters (Å, degrees): 4.4113 4.3626 11.4199 90.00 90.00 90.00
Last column: nearest neighbours and their distance in Å.
Space group Amm2 (No. 38)
Asymmetric unit:
Dy1 0.0000 0.0000 0.0000 (multiplicity 2)  4 Hg 3.15, 3 Sn 3.16-3.36
Dy2 0.5000 0.0000 0.2769 (multiplicity 2)  3 Hg 3.07-3.43, 4 Sn 3.16
Sn1 0.0000 0.0000 0.7234 (multiplicity 2)  2 Hg 3.00, 7 Dy 3.16-3.36
Hg1 0.5000 0.0000 0.5455 (multiplicity 2)  2 Sn 3.00, 5 Dy 3.07-3.15

No. 3
The following is a PBE calculation of crystalline Rb2Zn2F5 at its relaxed geometry, from the Alexandria database.

Output
**VASP energy**: -3.77 eV/atom
**Polymorph energy (0 for the lowest one)**: 0.0000 eV per atom
**Crystal system**: tetragonal
**DOS(E_F)**: 2.2 states/eV/f.u.

Lattice parameters (Å, degrees): 4.2742 4.2742 8.4486 90.00 90.00 90.00
Last column: nearest neighbours and their distance in Å.
Space group P4/mmm (No. 123)
Asymmetric unit:
Rb1 0.0000 0.0000 0.0000 (multiplicity 1)  12 F 3.02-3.08
Rb2 0.0000 0.0000 0.5000 (multiplicity 1)  8 F 2.93
Zn1 0.5000 0.5000 0.2458 (multiplicity 2)  5 F 2.08-2.14
F1 0.0000 0.5000 0.2624 (multiplicity 4)  2 Zn 2.14
F2 0.5000 0.5000 0.0000 (multiplicity 1)  2 Zn 2.08

No. 4
The following is a PBE calculation of crystalline Pr3TcBr3 at its relaxed geometry, from the Alexandria database.

Output
**VASP energy**: -5.32 eV/atom
**Crystal system**: monoclinic
**DOS(E_F)**: 1.7 states/eV/f.u.

Lattice parameters (Å, degrees): 9.6818 3.9820 12.2046 90.00 92.33 90.00
Last column: nearest neighbours and their distance in Å.
Space group P2_1/m (No. 11)
Asymmetric unit:
Pr1 0.1176 0.2500 0.3870 (multiplicity 2)  3 Tc 2.88-3.01
Pr2 0.1202 0.2500 0.8369 (multiplicity 2)  1 Tc 2.61
Pr3 0.3353 0.7500 0.6278 (multiplicity 2)  2 Tc 2.91, 2 Br 3.04-3.17
Tc1 0.1152 0.2500 0.6227 (multiplicity 2)  4 Pr 2.61-2.91
Br1 0.1125 0.2500 0.1180 (multiplicity 2)  4 Pr 3.07-3.43
Br2 0.3523 0.7500 0.8774 (multiplicity 2)  3 Pr 3.03-3.04
Br3 0.3915 0.7500 0.3738 (multiplicity 2)  5 Pr 3.17-3.33

No. 5
The following is a PBE calculation of crystalline GaRe2Ag2 at its relaxed geometry, from the Alexandria database.

Output
**VASP energy**: -6.01 eV/atom
**Polymorph energy (0 for the lowest one)**: 0.0000 eV per atom
**Crystal system**: tetragonal
**DOS(E_F)**: 2.8 states/eV/f.u.
**Formation energy from the elements**: 0.716 eV per atom

Lattice parameters (Å, degrees): 3.5507 3.5507 14.7508 90.00 90.00 90.00
Last column: nearest neighbours and their distance in Å.
Space group I4/mmm (No. 139)
Asymmetric unit:
Ga1 0.0000 0.0000 0.0000 (multiplicity 2)  8 Ag 2.88
Re1 0.0000 0.5000 0.2500 (multiplicity 4)  4 Re 2.51
Ag1 0.0000 0.0000 0.4050 (multiplicity 4)  1 Ag 2.80, 4 Ga 2.88, 4 Re 2.89

No. 6
The following is a PBE calculation of crystalline Nd8Ag2Ir3 at its relaxed geometry, from the Alexandria database.

Output
**VASP energy**: -5.76 eV/atom
**Crystal system**: monoclinic
**DOS(E_F)**: 14.7 states/eV/f.u.
**Formation energy from the elements**: -0.340 eV per atom

Lattice parameters (Å, degrees): 9.0124 4.9790 9.0154 90.00 111.30 90.00
Last column: nearest neighbours and their distance in Å.
Space group P2/m (No. 10)
Asymmetric unit:
Nd1 0.1138 0.0000 0.3875 (multiplicity 2)  2 Ir 2.99-3.00, 2 Ag 3.15
Nd2 0.1400 0.5000 0.8688 (multiplicity 2)  3 Ir 3.02, 2 Ag 3.22-3.28
Nd3 0.3703 0.5000 0.6406 (multiplicity 2)  3 Ir 3.02, 2 Ag 3.22-3.27
Nd4 0.3844 0.0000 0.1145 (multiplicity 2)  4 Ir 3.02-3.13, 2 Ag 3.27
Ag1 0.2426 0.5000 0.2572 (multiplicity 2)  8 Nd 3.15-3.28
Ir1 0.2431 0.0000 0.7430 (multiplicity 2)  8 Nd 2.99-3.13
Ir2 0.5000 0.5000 0.0000 (multiplicity 1)  8 Nd 3.02

No. 7
The following is a PBE calculation of crystalline TiIn2Re at its relaxed geometry, from the Alexandria database.

Output
**VASP energy**: -5.74 eV/atom
**Polymorph energy (0 for the lowest one)**: 0.4066 eV per atom
**Crystal system**: tetragonal
**DOS(E_F)**: 2.7 states/eV/f.u.
**Formation energy from the elements**: 0.714 eV per atom

Lattice parameters (Å, degrees): 7.6037 7.6037 5.6323 90.00 90.00 90.00
Last column: nearest neighbours and their distance in Å.
Space group I-42d (No. 122)
Asymmetric unit:
Ti1 0.0000 0.0000 0.0000 (multiplicity 4)  2 Re 2.82, 4 In 2.83
In1 0.2400 0.2500 0.6250 (multiplicity 8)  2 Re 2.73, 2 In 2.82, 2 Ti 2.83
Re1 0.0000 0.0000 0.5000 (multiplicity 4)  4 In 2.73, 2 Ti 2.82

No. 8
The following is a PBE calculation of crystalline Sr2TbF8 at its relaxed geometry, from the Alexandria database.

Output
**VASP energy**: -5.69 eV/atom
**Crystal system**: monoclinic
**DOS(E_F)**: 6.5 states/eV/f.u.

Lattice parameters (Å, degrees): 14.3808 4.0586 5.7752 90.00 111.61 90.00
Last column: nearest neighbours and their distance in Å.
Space group C2/m (No. 12)
Asymmetric unit:
Sr1 0.1703 0.0000 0.1849 (multiplicity 4)  9 F 2.51-2.66
Tb1 0.0000 0.5000 0.5000 (multiplicity 2)  8 F 2.28-2.38
F1 0.0184 0.0000 0.3045 (multiplicity 4)  2 Tb 2.38, 3 F 2.50-2.63, 1 Sr 2.52
F2 0.0968 0.5000 0.9141 (multiplicity 4)  1 Tb 2.28, 1 F 2.48, 2 Sr 2.54
F3 0.1529 0.5000 0.4627 (multiplicity 4)  1 Tb 2.29
F4 0.2231 0.0000 0.8157 (multiplicity 4)  1 F 2.48, 3 Sr 2.51-2.54